1.
The following is a PBE-GGA calculation of crystalline Sc2MnGa5 at its relaxed geometry, from the Alexandria database.

a b c (Å): 5.773 5.773 8.141
angles (deg): 90.00 90.00 90.00
Space group I4/mmm (No. 139)
Unique sites:
Sc 0.000 0.500 0.000 (multiplicity 4)
Mn 0.000 0.000 0.000 (multiplicity 2)
Ga 0.000 0.000 0.500 (multiplicity 2)
Ga 0.250 0.250 0.250 (multiplicity 8)

## Properties
For the uncorrected energy, the calculation gives -80.5 eV/cell. For the total magnetization, the calculation gives 6.322 Bohr magnetons per cell. For the formation energy, the calculation gives -408 meV/atom.



2.
The following is a PBE-GGA calculation of crystalline Dy2CoTc3 at its relaxed geometry, from the Alexandria database.

a b c (Å): 5.2217 5.2217 13.6092
angles (deg): 90.00 90.00 120.00
Space group R-3m (No. 166, hexagonal axes)
Unique sites:
Dy 0.0000 0.0000 0.1249 (multiplicity 6)
Co 0.0000 0.0000 0.5000 (multiplicity 3)
Tc 0.0000 0.5000 0.0000 (multiplicity 9)

## Properties
For the uncorrected energy, the calculation gives -145.2 eV/cell. For the total magnetization, the calculation gives 4.351 Bohr magnetons per cell. For the formation energy, the calculation gives -167 meV/atom.



3.
The following is a PBE-GGA calculation of crystalline MnHPd3 at its relaxed geometry, from the Alexandria database.

a b c (Å): 7.324 4.910 7.478
angles (deg): 90.00 113.62 90.00
Space group P2_1/c (No. 14)
Unique sites:
Mn 0.105 0.111 0.080 (multiplicity 4)
H 0.398 0.703 0.342 (multiplicity 4)
Pd 0.130 0.592 0.230 (multiplicity 4)
Pd 0.292 0.077 0.448 (multiplicity 4)
Pd 0.440 0.592 0.647 (multiplicity 4)

## Properties
For the uncorrected energy, the calculation gives -110.8 eV/cell. For the total magnetization, the calculation gives 0.002 Bohr magnetons per cell. As for the energy relative to the lowest polymorph listed for this composition: 0.310 eV per atom.



4.
The following is a PBE-GGA calculation of crystalline TiBe3I at its relaxed geometry, from the Alexandria database.

a b c (Å): 4.606 4.606 4.606
angles (deg): 90.00 90.00 90.00
Space group Pm-3m (No. 221)
Unique sites:
Ti 0.000 0.000 0.000 (multiplicity 1)
Be 0.000 0.500 0.500 (multiplicity 3)
I 0.500 0.500 0.500 (multiplicity 1)

## Properties
For the uncorrected energy, the calculation gives -11.5 eV/cell. For the total magnetization, the calculation gives 0.000 Bohr magnetons per cell. As for the energy relative to the lowest polymorph listed for this composition: 0.221 eV per atom.



5.
The following is a PBE-GGA calculation of crystalline Sm3Si3Ir2 at its relaxed geometry, from the Alexandria database.

a b c (Å): 4.275 10.775 14.282
angles (deg): 90.00 90.00 90.00
Space group Cmcm (No. 63)
Unique sites:
Sm 0.000 0.079 0.111 (multiplicity 8)
Sm 0.000 0.360 0.250 (multiplicity 4)
Si 0.000 0.332 0.750 (multiplicity 4)
Si 0.000 0.365 0.036 (multiplicity 8)
Ir 0.000 0.205 0.599 (multiplicity 8)

## Properties
For the uncorrected energy, the calculation gives -221.8 eV/cell. For the total magnetization, the calculation gives 0.000 Bohr magnetons per cell.



6.
The following is a PBE-GGA calculation of crystalline TbY2HoS4 at its relaxed geometry, from the Alexandria database.

a b c (Å): 6.793 3.882 6.796
angles (deg): 90.00 109.12 90.00
Space group P2/m (No. 10)
Unique sites:
Tb 0.000 0.000 0.000 (multiplicity 1)
Y 0.500 0.000 0.500 (multiplicity 1)
Y 0.500 0.500 0.000 (multiplicity 1)
Ho 0.000 0.500 0.500 (multiplicity 1)
S 0.248 0.000 0.747 (multiplicity 2)
S 0.250 0.500 0.252 (multiplicity 2)

## Properties
For the uncorrected energy, the calculation gives -54.6 eV/cell. For the total magnetization, the calculation gives 0.000 Bohr magnetons per cell.



Number 1: ρ 6.040 g/cm³. Number 2: ρ 10.510 g/cm³. Number 3: ρ 10.114 g/cm³. Number 4: ρ 3.428 g/cm³. Number 5: ρ 9.286 g/cm³. Number 6: ρ 6.176 g/cm³.